[1]
{
  "formula": "Tl2Cd2Bi",
  "functional": "PBE",
  "state": "optimized geometry",
  "lattice_angstrom": [[8.9907, 0.0000, 0.0000], [0.0000, 8.9907, 0.0000], [0.0000, 0.0000, 3.5810]],
  "species": ["Tl", "Cd", "Bi", "Bi", "Tl", "Tl", "Cd", "Tl", "Cd", "Cd"],
  "fractional_positions": [[0.1376, 0.3624, 0.0000], [0.1649, 0.6649, 0.5000], [0.0000, 0.0000, 0.0000], [0.5000, 0.5000, 0.0000], [0.3624, 0.8624, 0.0000], [0.8624, 0.6376, 0.0000], [0.8351, 0.3351, 0.5000], [0.6376, 0.1376, 0.0000], [0.6649, 0.8351, 0.5000], [0.3351, 0.1649, 0.5000]],
  "e_above_lowest_polymorph_mev_per_atom": 102,
  "crystal_system": "tetragonal",
  "formation_enthalpy_0k_ev_per_atom": 0.1279
}



[2]
{
  "formula": "PaSBr",
  "functional": "PBE",
  "state": "optimized geometry",
  "lattice_angstrom": [[7.2362, 0.0000, 0.0000], [0.0000, 3.8094, 0.0000], [0.0000, -1.9047, 3.2991]],
  "species": ["S", "Pa", "Br"],
  "fractional_positions": [[0.2329, 0.3333, 0.6667], [0.0220, 0.0000, 0.0000], [0.7451, 0.6667, 0.3333]],
  "e_form_raw_ev_per_atom": -1.298,
  "e_above_lowest_polymorph_mev_per_atom": 189,
  "crystal_system": "trigonal"
}



[3]
{
  "formula": "Cd2NiTe",
  "functional": "PBE",
  "state": "optimized geometry",
  "lattice_angstrom": [[5.7218, 0.1079, 0.0000], [2.7102, 5.0404, 0.0000], [-4.2160, -2.5741, 2.8896]],
  "species": ["Cd", "Cd", "Ni", "Te"],
  "fractional_positions": [[0.0000, 0.0000, 0.0000], [0.5000, 0.5000, 0.0000], [0.2500, 0.7500, 0.5000], [0.7500, 0.2500, 0.5000]],
  "e_form_raw_ev_per_atom": 0.221,
  "crystal_system": "tetragonal"
}



[4]
{
  "formula": "Zn3Os",
  "functional": "PBE",
  "state": "optimized geometry",
  "lattice_angstrom": [[-0.8167, -2.0698, -3.0765], [2.5263, -2.6163, 1.0904], [-6.4167, -1.3666, 4.9686]],
  "species": ["Zn", "Zn", "Zn", "Os", "Zn", "Os", "Zn", "Zn"],
  "fractional_positions": [[0.7501, 0.2499, 0.5000], [0.0000, 0.5000, 0.0000], [0.2499, 0.7501, 0.5000], [0.1183, 0.1183, 0.2367], [0.3716, 0.3716, 0.7428], [0.8817, 0.8817, 0.7633], [0.5000, 0.0000, 0.0000], [0.6284, 0.6284, 0.2572]],
  "crystal_system": "tetragonal",
  "formation_enthalpy_0k_ev_per_atom": 0.0781
}



[5]
{
  "formula": "Dy2HfUN4",
  "functional": "PBE",
  "state": "optimized geometry",
  "lattice_angstrom": [[3.3749, 0.0000, 0.0000], [0.0000, 5.8419, 0.1230], [0.0000, -2.0214, 5.5233]],
  "species": ["N", "N", "N", "Dy", "Hf", "U", "Dy", "N"],
  "fractional_positions": [[0.5000, 0.2403, 0.2228], [0.0000, 0.7504, 0.2299], [0.0000, 0.2496, 0.7701], [0.5000, 0.0000, 0.5000], [0.0000, 0.0000, 0.0000], [0.5000, 0.5000, 0.0000], [0.0000, 0.5000, 0.5000], [0.5000, 0.7597, 0.7772]],
  "e_form_raw_ev_per_atom": -1.647,
  "crystal_system": "monoclinic"
}



[6]
{
  "formula": "Ce7Tl4Sn",
  "functional": "PBE",
  "state": "optimized geometry",
  "lattice_angstrom": [[5.9012, 0.0000, 0.0000], [2.9506, 8.6750, 1.6786], [2.9506, 1.5553, 7.2920]],
  "species": ["Ce", "Ce", "Ce", "Ce", "Sn", "Ce", "Tl", "Ce", "Tl", "Tl", "Tl", "Ce"],
  "fractional_positions": [[0.9242, 0.4093, 0.7422], [0.8084, 0.9072, 0.4759], [0.2305, 0.7598, 0.7792], [0.1916, 0.0928, 0.5241], [0.0000, 0.0000, 0.0000], [0.5000, 0.0000, 0.0000], [0.5455, 0.3099, 0.5991], [0.0758, 0.5907, 0.2578], [0.3142, 0.3500, 0.0215], [0.4545, 0.6901, 0.4009], [0.6858, 0.6500, 0.9785], [0.7695, 0.2402, 0.2208]],
  "crystal_system": "monoclinic",
  "formation_enthalpy_0k_ev_per_atom": -0.1297
}



[7]
{
  "formula": "Rb2NpBiS5",
  "functional": "PBE",
  "state": "optimized geometry",
  "lattice_angstrom": [[-0.6829, -2.6276, -3.2316], [1.8278, -5.5385, 6.8734], [-15.1719, -0.5118, 3.6223]],
  "species": ["Np", "S", "S", "S", "S", "Bi", "S", "Rb", "S", "Rb", "S", "S", "Rb", "S", "Np", "Rb", "Bi", "S"],
  "fractional_positions": [[0.2173, 0.4345, 0.0275], [0.3555, 0.7109, 0.9920], [0.0715, 0.1430, 0.0567], [0.5044, 0.0089, 0.2882], [0.4956, 0.9911, 0.7882], [0.5339, 0.0678, 0.9421], [0.3119, 0.6238, 0.4184], [0.0907, 0.1813, 0.6683], [0.6881, 0.3762, 0.9184], [0.1499, 0.2998, 0.2991], [0.6445, 0.2891, 0.4920], [0.9285, 0.8570, 0.5567], [0.9093, 0.8187, 0.1683], [0.7269, 0.4538, 0.1319], [0.7827, 0.5655, 0.5275], [0.8501, 0.7002, 0.7991], [0.4661, 0.9322, 0.4421], [0.2731, 0.5462, 0.6319]],
  "e_form_raw_ev_per_atom": -0.932,
  "crystal_system": "orthorhombic"
}



[8]
{
  "formula": "CeSm4N4",
  "functional": "PBE",
  "state": "optimized geometry",
  "lattice_angstrom": [[-1.3849, -1.5958, -2.8918], [4.7524, -2.8458, -2.9234], [-0.5474, -7.7062, 2.2969]],
  "species": ["Ce", "Sm", "N", "N", "Sm", "Sm", "N", "N", "Sm"],
  "fractional_positions": [[0.5000, 0.0000, 0.0000], [0.8925, 0.8267, 0.3882], [0.0998, 0.7068, 0.0936], [0.9002, 0.2932, 0.9064], [0.1075, 0.1733, 0.6118], [0.2951, 0.5994, 0.8105], [0.3020, 0.0942, 0.3019], [0.6980, 0.9058, 0.6981], [0.7049, 0.4006, 0.1895]],
  "e_form_raw_ev_per_atom": -1.320,
  "e_above_lowest_polymorph_mev_per_atom": 0,
  "crystal_system": "monoclinic"
}



[9]
{
  "formula": "NaCaIr3",
  "functional": "PBE",
  "state": "optimized geometry",
  "lattice_angstrom": [[4.6322, 0.0000, 0.0000], [0.0000, 4.6322, 0.0000], [0.0000, 0.0000, 4.6322]],
  "species": ["Ir", "Ir", "Ca", "Ir", "Na"],
  "fractional_positions": [[0.0000, 0.5000, 0.0000], [0.5000, 0.0000, 0.0000], [0.5000, 0.5000, 0.5000], [0.0000, 0.0000, 0.5000], [0.0000, 0.0000, 0.0000]],
  "e_above_lowest_polymorph_mev_per_atom": 0,
  "crystal_system": "cubic",
  "formation_enthalpy_0k_ev_per_atom": 1.5762
}



[10]
{
  "formula": "NiOs2Se",
  "functional": "PBE",
  "state": "optimized geometry",
  "lattice_angstrom": [[5.0905, 0.0000, 0.0000], [0.0000, 5.0905, 0.0000], [2.5452, 2.5452, 5.9475]],
  "species": ["Os", "Os", "Ni", "Se", "Ni", "Os", "Os", "Se"],
  "fractional_positions": [[0.8750, 0.8649, 0.7500], [0.1351, 0.6250, 0.2500], [0.2500, 0.7500, 0.5000], [0.7500, 0.2500, 0.5000], [0.5000, 0.5000, 0.0000], [0.3750, 0.3851, 0.7500], [0.6149, 0.1250, 0.2500], [0.0000, 0.0000, 0.0000]],
  "e_form_raw_ev_per_atom": 1.193,
  "crystal_system": "tetragonal"
}



[11]
{
  "formula": "Ac3Tb2Y3",
  "functional": "PBE",
  "state": "optimized geometry",
  "lattice_angstrom": [[6.7931, 0.0000, 0.0000], [0.0000, 8.7616, 5.0578], [0.0000, 0.0006, 10.1167]],
  "species": ["Y", "Ac", "Ac", "Tb", "Ac", "Ac", "Ac", "Y", "Y", "Y", "Tb", "Y", "Ac", "Tb", "Y", "Tb"],
  "fractional_positions": [[0.7500, 0.0000, 0.5850], [0.7500, 0.7665, 0.0000], [0.7500, 0.0000, 0.2335], [0.5000, 0.6667, 0.6667], [0.2500, 0.7665, 0.2335], [0.2500, 0.0000, 0.7665], [0.2500, 0.2335, 0.0000], [0.2500, 0.4150, 0.5850], [0.7500, 0.4150, 0.0000], [0.7500, 0.5850, 0.4150], [0.0000, 0.3333, 0.3333], [0.2500, 0.0000, 0.4150], [0.7500, 0.2335, 0.7665], [0.5000, 0.3333, 0.3333], [0.2500, 0.5850, 0.0000], [0.0000, 0.6667, 0.6667]],
  "crystal_system": "hexagonal",
  "formation_enthalpy_0k_ev_per_atom": 0.1879
}



[12]
{
  "formula": "ThScCdPd",
  "functional": "PBE",
  "state": "optimized geometry",
  "lattice_angstrom": [[-2.7996, 0.0896, -4.2698], [-3.7404, -3.4109, -0.6727], [-4.8800, 1.4938, 0.1774]],
  "species": ["Th", "Pd", "Sc", "Cd"],
  "fractional_positions": [[0.5000, 0.5000, 0.5000], [0.2500, 0.2500, 0.2500], [0.0000, 0.0000, 0.0000], [0.7500, 0.7500, 0.7500]],
  "crystal_system": "cubic",
  "formation_enthalpy_0k_ev_per_atom": -0.3577
}



Number 1: magnetization 0.00 μB per atom. Number 2: magnetization 0.00 μB per atom. Number 3: magnetization 0.00 μB per atom. Number 4: magnetization 0.00 μB per atom. Number 5: magnetization 0.07 μB per atom. Number 6: magnetization 0.58 μB per atom. Number 7: magnetization 0.22 μB per atom. Number 8: magnetization 0.04 μB per atom. Number 9: magnetization 0.00 μB per atom. Number 10: magnetization 0.00 μB per atom. Number 11: magnetization 0.00 μB per atom. Number 12: magnetization 0.00 μB per atom.